Entry 1:
Below is a relaxed structure of Rb2NbI6Br, with properties calculated at the PBE-GGA level.

```
Rb2NbI6Br
1.0
8.8550 0.0000 0.0000
0.0000 8.8550 0.0000
4.4275 4.4275 6.3102
I Rb Br Nb
6 2 1 1
Cartesian
6.8752 6.8752 0.0000 I
8.8550 8.8550 2.8013 I
1.9798 6.8752 0.0000 I
1.9798 1.9798 0.0000 I
4.4275 4.4275 3.5090 I
6.8752 1.9798 0.0000 I
8.8550 4.4275 3.1551 Rb
4.4275 8.8550 3.1551 Rb
4.4275 4.4275 0.0000 Br
0.0000 0.0000 0.0000 Nb
```

Calculated values
Uncorrected formation energy, eV per formula unit: -7.287
Fermi-level density of states, states/eV/f.u.: 1.19
E_tot, eV per atom: -3.0266
Distance to the lowest polymorph of the same formula, meV/atom: 98


Entry 2:
Below is a relaxed structure of Rb2NbI6Br, with properties calculated at the PBE-GGA level.

```
Rb2NbI6Br
1.0
-2.7405 -8.9273 -3.5011
-2.5534 -7.2613 6.3437
-6.8536 -3.8011 0.7877
Br I Nb Rb
1 6 1 2
Cartesian
-8.1015 -15.2966 2.7584 Br
-2.9467 -3.0025 -0.3236 I
-6.7694 -7.6490 2.8304 I
-4.1338 -6.7771 -0.1672 I
-7.3151 -9.7022 -0.5135 I
-7.9546 -11.4215 2.9958 I
-3.5899 -4.7293 3.1784 I
-2.0252 -5.3149 0.9385 Nb
-6.5583 -3.9074 0.8065 Rb
-4.3622 -10.5385 1.8555 Rb
```

Calculated values
Uncorrected formation energy, eV per formula unit: -8.267
E_tot, eV per atom: -3.1246
Distance to the lowest polymorph of the same formula, meV/atom: 0


Entry 3:
Below is a relaxed structure of NbSbI2Br, with properties calculated at the PBE-GGA level.

```
NbSbI2Br
1.0
5.4375 0.0000 0.0000
0.0000 5.4375 0.0000
0.0000 0.0000 5.5849
Br I Sb Nb
1 2 1 1
Cartesian
2.7188 2.7188 2.7924 Br
0.0000 2.7188 0.0000 I
2.7188 0.0000 0.0000 I
0.0000 0.0000 2.7924 Sb
0.0000 0.0000 0.0000 Nb
```

Calculated values
Uncorrected formation energy, eV per formula unit: 0.464
Fermi-level density of states, states/eV/f.u.: 4.88
E_tot, eV per atom: -3.7003
Distance to the lowest polymorph of the same formula, meV/atom: 0


> What is the formula in the third record?

NbSbI2Br


> Which formula does entry 2 have?

Rb2NbI6Br


> Look up the distance to the lowest polymorph of the same formula of the first one.

98 meV/atom